First-principles (meta-GGA SCAN) data for a crystal of Na3H6Rh relaxed with PBEsol, as listed in Alexandria.

Cell and atoms, written as CIF:
```
data_Na3H6Rh
_chemical_formula_sum 'Na12 H24 Rh4'
_cell_length_a 9.123
_cell_length_b 5.121
_cell_length_c 9.463
_cell_angle_alpha 90.00
_cell_angle_beta 90.00
_cell_angle_gamma 90.00
_symmetry_space_group_name_H-M 'P n m a'
_symmetry_Int_Tables_number 62
loop_
_symmetry_equiv_pos_as_xyz
'x,y,z'
'-x,-y,-z'
'-x+1/2,-y,z+1/2'
'x+1/2,y,-z+1/2'
'x+1/2,-y+1/2,-z+1/2'
'-x+1/2,y+1/2,z+1/2'
'-x,y+1/2,-z'
'x,-y+1/2,z'
loop_
_atom_site_label
_atom_site_type_symbol
_atom_site_fract_x
_atom_site_fract_y
_atom_site_fract_z
_atom_site_occupancy
Na1 Na 0.046 0.250 0.127 1
Na2 Na 0.105 0.750 0.534 1
Na3 Na 0.217 0.250 0.750 1
H1 H 0.106 0.029 0.338 1
H2 H 0.123 0.250 0.546 1
H3 H 0.169 0.517 0.964 1
H4 H 0.186 0.750 0.751 1
Rh1 Rh 0.221 0.250 0.401 1
```

* VASP energy: -7.148 eV/atom
* total magnetic moment: 0.1 μB per formula unit